Record 1
DFT (PBE-GGA) results for an optimized crystal structure of PrAg6Hg6.

Cell lengths 5.660, 7.610, 7.610 Å; angles 80.92, 68.17, 68.17 degrees
Positions (direct):
Hg: 0.341 0.659 0.659
Ag: 0.500 0.239 0.761
Ag: 0.500 0.761 0.239
Hg: 0.676 0.824 0.824
Ag: 0.500 0.000 0.500
Hg: 0.659 0.341 0.341
Hg: 0.324 0.176 0.176
Ag: 0.500 0.500 0.000
Pr: 0.000 0.000 0.000
Ag: 0.000 0.500 0.000
Ag: 0.000 0.000 0.500
Hg: 0.000 0.656 0.344
Hg: 0.000 0.344 0.656

Properties
Crystal system   orthorhombic
E_tot   -24.6 eV for the cell shown
Energy of formation from the pure elements   -0.073 eV/atom
ρ   11.71 g/cm3

***

Record 2
DFT (PBE-GGA) results for an optimized crystal structure of ZrGa2Au.

Cell lengths 4.649, 4.649, 6.625 Å; angles 69.46, 69.46, 60.00 degrees
Positions (direct):
Ga: 0.136 0.136 0.592
Au: 0.000 0.000 0.000
Ga: 0.864 0.864 0.408
Zr: 0.500 0.500 0.500

Properties
Crystal system   trigonal
E_tot   -16.2 eV for the cell shown
Energy of formation from the pure elements   0.429 eV/atom
ρ   6.26 g/cm3

***

Record 3
DFT (PBE-GGA) results for an optimized crystal structure of HgSb2O6.

Cell lengths 5.361, 5.361, 5.020 Å; angles 90.00, 90.00, 120.00 degrees
Positions (direct):
Sb: 0.667 0.333 0.500
O: 0.000 0.372 0.280
O: 0.000 0.628 0.720
O: 0.372 0.000 0.280
O: 0.372 0.372 0.720
Hg: 0.000 0.000 0.000
Sb: 0.333 0.667 0.500
O: 0.628 0.000 0.720
O: 0.628 0.628 0.280

Properties
Crystal system   trigonal
E_tot   -48.7 eV for the cell shown
Relative energy among the computed polymorphs   0 meV per atom
ρ   7.18 g/cm3

***

Record 4
DFT (PBE-GGA) results for an optimized crystal structure of Er2MgTaN4.

Cell lengths 3.260, 5.644, 5.630 Å; angles 109.17, 90.00, 90.00 degrees
Positions (direct):
N: 0.000 0.240 0.771
N: 0.500 0.765 0.772
Er: 0.500 0.000 0.500
Ta: 0.000 0.000 0.000
N: 0.000 0.760 0.229
N: 0.500 0.235 0.228
Er: 0.000 0.500 0.500
Mg: 0.500 0.500 0.000

Properties
Crystal system   monoclinic
E_tot   -67.1 eV for the cell shown
ρ   10.11 g/cm3

***

Record 5
DFT (PBE-GGA) results for an optimized crystal structure of BeZnOs2.

Cell lengths 2.858, 4.489, 4.146 Å; angles 90.00, 90.00, 90.00 degrees
Positions (direct):
Os: 0.000 0.000 0.000
Be: 0.000 0.500 0.500
Zn: 0.500 0.000 0.500
Os: 0.500 0.500 0.000

Properties
Crystal system   orthorhombic
E_tot   -26.3 eV for the cell shown
Energy of formation from the pure elements   0.297 eV/atom
ρ   14.20 g/cm3

***

Record 6
DFT (PBE-GGA) results for an optimized crystal structure of TeIrI2F.

Cell lengths 5.516, 5.516, 5.033 Å; angles 90.00, 90.00, 90.00 degrees
Positions (direct):
F: 0.500 0.500 0.500
Ir: 0.000 0.000 0.000
I: 0.500 0.000 0.000
I: 0.000 0.500 0.000
Te: 0.000 0.000 0.500

Properties
Crystal system   tetragonal
E_tot   -15.6 eV for the cell shown
Relative energy among the computed polymorphs   210 meV per atom
ρ   6.43 g/cm3

***

Record 7
DFT (PBE-GGA) results for an optimized crystal structure of LiHgIr.

Cell lengths 6.511, 6.511, 6.511 Å; angles 155.01, 155.01, 35.63 degrees
Positions (direct):
Hg: 0.001 0.001 0.000
Li: 0.677 0.677 0.000
Ir: 0.322 0.322 0.000

Properties
Crystal system   tetragonal
E_tot   -10.5 eV for the cell shown
Relative energy among the computed polymorphs   41 meV per atom
Energy of formation from the pure elements   0.180 eV/atom
ρ   13.49 g/cm3

***

Record 8
DFT (PBE-GGA) results for an optimized crystal structure of SnPt2C.

Cell lengths 5.172, 5.172, 6.685 Å; angles 67.24, 67.24, 90.00 degrees
Positions (direct):
Pt: 0.236 0.625 0.250
C: 0.500 0.500 0.000
Pt: 0.375 0.486 0.750
Pt: 0.875 0.764 0.750
Sn: 0.750 0.250 0.500
Pt: 0.514 0.125 0.250
C: 0.250 0.750 0.500
Sn: 0.000 0.000 0.000

Properties
Crystal system   tetragonal
E_tot   -48.6 eV for the cell shown
Relative energy among the computed polymorphs   0 meV per atom
Energy of formation from the pure elements   0.251 eV/atom
ρ   11.56 g/cm3

***

- Which of these has the highest E_tot?
  LiHgIr

***

Repeat the sixth record exactly.
DFT (PBE-GGA) results for an optimized crystal structure of TeIrI2F.

Cell lengths 5.516, 5.516, 5.033 Å; angles 90.00, 90.00, 90.00 degrees
Positions (direct):
F: 0.500 0.500 0.500
Ir: 0.000 0.000 0.000
I: 0.500 0.000 0.000
I: 0.000 0.500 0.000
Te: 0.000 0.000 0.500

Properties
Crystal system   tetragonal
E_tot   -15.6 eV for the cell shown
Relative energy among the computed polymorphs   210 meV per atom
ρ   6.43 g/cm3

***

- Among the records above, which one has the highest E_tot?
  LiHgIr